{
  "formula": "NaOs2PbS",
  "functional": "PBE",
  "state": "relaxed",
  "lattice_angstrom": [[5.0596, 0.0000, 0.0000], [0.0000, 5.0596, 0.0000], [0.0000, 0.0000, 5.5526]],
  "species": ["Na", "Os", "Os", "Pb", "S"],
  "frac_coords": [[0.0000, 0.0000, 0.0000], [0.0000, 0.5000, 0.5000], [0.5000, 0.0000, 0.5000], [0.0000, 0.0000, 0.5000], [0.5000, 0.5000, 0.0000]],
  "raw_formation_energy_mev_per_atom": 2260,
  "sg": "P4/mmm (123)",
  "magnetic_moment_mub_per_atom": 0.76,
  "de_polymorph_ev_per_atom": 1.381
}

{
  "formula": "NaOs2Pd",
  "functional": "PBE",
  "state": "relaxed",
  "lattice_angstrom": [[6.2396, 0.0000, 0.0000], [0.0000, 6.2396, 0.0000], [0.0000, 0.0000, 6.2396]],
  "species": ["Na", "Na", "Na", "Na", "Os", "Os", "Os", "Os", "Os", "Os", "Os", "Os", "Pd", "Pd", "Pd", "Pd"],
  "frac_coords": [[0.0000, 0.0000, 0.0000], [0.0000, 0.5000, 0.5000], [0.5000, 0.0000, 0.5000], [0.5000, 0.5000, 0.0000], [0.2500, 0.2500, 0.2500], [0.2500, 0.2500, 0.7500], [0.2500, 0.7500, 0.2500], [0.2500, 0.7500, 0.7500], [0.7500, 0.2500, 0.2500], [0.7500, 0.2500, 0.7500], [0.7500, 0.7500, 0.2500], [0.7500, 0.7500, 0.7500], [0.0000, 0.0000, 0.5000], [0.0000, 0.5000, 0.0000], [0.5000, 0.0000, 0.0000], [0.5000, 0.5000, 0.5000]],
  "sg": "Fm-3m (225)",
  "magnetic_moment_mub_per_atom": 0.00,
  "formation_energy_ev_per_atom": 1.24,
  "de_polymorph_ev_per_atom": 0.017
}

{
  "formula": "NaOsPd3",
  "functional": "PBE",
  "state": "relaxed",
  "lattice_angstrom": [[4.4974, 0.0000, 0.0000], [0.0000, 4.4974, 0.0000], [0.0000, 0.0000, 4.4974]],
  "species": ["Na", "Os", "Pd", "Pd", "Pd"],
  "frac_coords": [[0.0000, 0.0000, 0.0000], [0.5000, 0.5000, 0.5000], [0.0000, 0.0000, 0.5000], [0.0000, 0.5000, 0.0000], [0.5000, 0.0000, 0.0000]],
  "sg": "Pm-3m (221)",
  "magnetic_moment_mub_per_atom": 0.71,
  "formation_energy_ev_per_atom": 1.63,
  "de_polymorph_ev_per_atom": 0.742
}

{
  "formula": "NaOsPd3",
  "functional": "PBE",
  "state": "relaxed",
  "lattice_angstrom": [[4.8755, 0.0000, 0.0000], [0.0000, 4.8755, 0.0000], [0.0000, 0.0000, 4.8755]],
  "species": ["Na", "Os", "Pd", "Pd", "Pd"],
  "frac_coords": [[0.0000, 0.0000, 0.0000], [0.5000, 0.5000, 0.5000], [0.0000, 0.5000, 0.5000], [0.5000, 0.0000, 0.5000], [0.5000, 0.5000, 0.0000]],
  "sg": "Pm-3m (221)",
  "magnetic_moment_mub_per_atom": 0.00,
  "formation_energy_ev_per_atom": 0.89,
  "de_polymorph_ev_per_atom": 0.000
}

{
  "formula": "NaOs2Pd",
  "functional": "PBE",
  "state": "relaxed",
  "lattice_angstrom": [[7.8715, 0.0000, 0.0000], [0.0000, 7.8715, 0.0000], [0.0000, 0.0000, 4.7113]],
  "species": ["Na", "Na", "Na", "Na", "Os", "Os", "Os", "Os", "Os", "Os", "Os", "Os", "Pd", "Pd", "Pd", "Pd"],
  "frac_coords": [[0.0000, 0.0000, 0.0000], [0.0000, 0.5000, 0.2500], [0.5000, 0.0000, 0.7500], [0.5000, 0.5000, 0.5000], [0.1923, 0.7500, 0.6250], [0.2500, 0.1923, 0.3750], [0.2500, 0.3077, 0.8750], [0.3077, 0.7500, 0.1250], [0.6923, 0.2500, 0.1250], [0.7500, 0.6923, 0.8750], [0.7500, 0.8077, 0.3750], [0.8077, 0.2500, 0.6250], [0.0000, 0.0000, 0.5000], [0.0000, 0.5000, 0.7500], [0.5000, 0.0000, 0.2500], [0.5000, 0.5000, 0.0000]],
  "sg": "I-42d (122)",
  "magnetic_moment_mub_per_atom": 0.00,
  "formation_energy_ev_per_atom": 1.22,
  "de_polymorph_ev_per_atom": 0.000
}

{
  "formula": "Na3OsPd3Se8",
  "functional": "PBE",
  "state": "relaxed",
  "lattice_angstrom": [[6.6580, -3.8350, 0.0000], [6.6580, 3.8350, 0.0000], [-4.4490, 0.0000, 6.7968]],
  "species": ["Na", "Na", "Na", "Os", "Pd", "Pd", "Pd", "Se", "Se", "Se", "Se", "Se", "Se", "Se", "Se"],
  "frac_coords": [[0.0000, 0.0000, 0.0000], [0.0000, 0.5000, 0.0000], [0.5000, 0.0000, 0.0000], [0.0000, 0.0000, 0.5000], [0.0000, 0.5000, 0.5000], [0.5000, 0.0000, 0.5000], [0.5000, 0.5000, 0.5000], [0.2252, 0.2252, 0.6912], [0.2254, 0.7410, 0.6908], [0.2590, 0.7746, 0.3092], [0.2707, 0.2707, 0.3132], [0.7293, 0.7293, 0.6868], [0.7410, 0.2254, 0.6908], [0.7746, 0.2590, 0.3092], [0.7748, 0.7748, 0.3088]],
  "raw_formation_energy_mev_per_atom": -439,
  "sg": "C2/m (12)",
  "magnetic_moment_mub_per_atom": 0.02
}

{
  "formula": "NaZnOsPd2",
  "functional": "PBE",
  "state": "relaxed",
  "lattice_angstrom": [[4.4864, 0.0000, 0.0000], [0.0000, 4.4864, 0.0000], [0.0000, 0.0000, 4.7959]],
  "species": ["Na", "Zn", "Os", "Pd", "Pd"],
  "frac_coords": [[0.0000, 0.0000, 0.0000], [0.5000, 0.5000, 0.5000], [0.0000, 0.0000, 0.5000], [0.0000, 0.5000, 0.0000], [0.5000, 0.0000, 0.0000]],
  "sg": "P4/mmm (123)",
  "magnetic_moment_mub_per_atom": 0.44,
  "formation_energy_ev_per_atom": 1.73
}

{
  "formula": "NaPmPrOs",
  "functional": "PBE",
  "state": "relaxed",
  "lattice_angstrom": [[7.3052, 0.0000, 0.0000], [0.0000, 7.3052, 0.0000], [0.0000, 0.0000, 7.3052]],
  "species": ["Na", "Na", "Na", "Na", "Pm", "Pm", "Pm", "Pm", "Pr", "Pr", "Pr", "Pr", "Os", "Os", "Os", "Os"],
  "frac_coords": [[0.0000, 0.0000, 0.0000], [0.0000, 0.5000, 0.5000], [0.5000, 0.0000, 0.5000], [0.5000, 0.5000, 0.0000], [0.2500, 0.2500, 0.2500], [0.2500, 0.7500, 0.7500], [0.7500, 0.2500, 0.7500], [0.7500, 0.7500, 0.2500], [0.2500, 0.2500, 0.7500], [0.2500, 0.7500, 0.2500], [0.7500, 0.2500, 0.2500], [0.7500, 0.7500, 0.7500], [0.0000, 0.0000, 0.5000], [0.0000, 0.5000, 0.0000], [0.5000, 0.0000, 0.0000], [0.5000, 0.5000, 0.5000]],
  "sg": "F-43m (216)",
  "magnetic_moment_mub_per_atom": 0.00,
  "formation_energy_ev_per_atom": 0.14
}

{
  "formula": "NaPmYOs",
  "functional": "PBE",
  "state": "relaxed",
  "lattice_angstrom": [[7.1845, 0.0000, 0.0000], [0.0000, 7.1845, 0.0000], [0.0000, 0.0000, 7.1845]],
  "species": ["Na", "Na", "Na", "Na", "Pm", "Pm", "Pm", "Pm", "Y", "Y", "Y", "Y", "Os", "Os", "Os", "Os"],
  "frac_coords": [[0.0000, 0.0000, 0.0000], [0.0000, 0.5000, 0.5000], [0.5000, 0.0000, 0.5000], [0.5000, 0.5000, 0.0000], [0.2500, 0.2500, 0.7500], [0.2500, 0.7500, 0.2500], [0.7500, 0.2500, 0.2500], [0.7500, 0.7500, 0.7500], [0.2500, 0.2500, 0.2500], [0.2500, 0.7500, 0.7500], [0.7500, 0.2500, 0.7500], [0.7500, 0.7500, 0.2500], [0.0000, 0.0000, 0.5000], [0.0000, 0.5000, 0.0000], [0.5000, 0.0000, 0.0000], [0.5000, 0.5000, 0.5000]],
  "sg": "F-43m (216)",
  "magnetic_moment_mub_per_atom": 0.00,
  "formation_energy_ev_per_atom": 0.08
}

{
  "formula": "NaPrSmOs",
  "functional": "PBE",
  "state": "relaxed",
  "lattice_angstrom": [[7.2883, 0.0000, 0.0000], [0.0000, 7.2883, 0.0000], [0.0000, 0.0000, 7.2883]],
  "species": ["Na", "Na", "Na", "Na", "Pr", "Pr", "Pr", "Pr", "Sm", "Sm", "Sm", "Sm", "Os", "Os", "Os", "Os"],
  "frac_coords": [[0.0000, 0.0000, 0.0000], [0.0000, 0.5000, 0.5000], [0.5000, 0.0000, 0.5000], [0.5000, 0.5000, 0.0000], [0.2500, 0.2500, 0.2500], [0.2500, 0.7500, 0.7500], [0.7500, 0.2500, 0.7500], [0.7500, 0.7500, 0.2500], [0.2500, 0.2500, 0.7500], [0.2500, 0.7500, 0.2500], [0.7500, 0.2500, 0.2500], [0.7500, 0.7500, 0.7500], [0.0000, 0.0000, 0.5000], [0.0000, 0.5000, 0.0000], [0.5000, 0.0000, 0.0000], [0.5000, 0.5000, 0.5000]],
  "sg": "F-43m (216)",
  "magnetic_moment_mub_per_atom": 0.00,
  "formation_energy_ev_per_atom": 0.13
}

{
  "formula": "NaOsPt3",
  "functional": "PBE",
  "state": "relaxed",
  "lattice_angstrom": [[4.8783, 0.0000, 0.0000], [0.0000, 4.8783, 0.0000], [0.0000, 0.0000, 4.8783]],
  "species": ["Na", "Os", "Pt", "Pt", "Pt"],
  "frac_coords": [[0.0000, 0.0000, 0.0000], [0.5000, 0.5000, 0.5000], [0.0000, 0.5000, 0.5000], [0.5000, 0.0000, 0.5000], [0.5000, 0.5000, 0.0000]],
  "sg": "Pm-3m (221)",
  "magnetic_moment_mub_per_atom": 0.00,
  "formation_energy_ev_per_atom": 0.84,
  "de_polymorph_ev_per_atom": 0.000
}

{
  "formula": "Na3OsPt",
  "functional": "PBE",
  "state": "relaxed",
  "lattice_angstrom": [[5.5206, 0.0000, 0.0000], [0.0000, 5.5206, 0.0000], [0.0000, 0.0000, 5.5206]],
  "species": ["Na", "Na", "Na", "Os", "Pt"],
  "frac_coords": [[0.0000, 0.0000, 0.5000], [0.0000, 0.5000, 0.0000], [0.5000, 0.0000, 0.0000], [0.0000, 0.0000, 0.0000], [0.5000, 0.5000, 0.5000]],
  "sg": "Pm-3m (221)",
  "magnetic_moment_mub_per_atom": 0.60,
  "formation_energy_ev_per_atom": 1.62
}